No. 1
# Ru2PtSe

An optimized crystal structure of Ru2PtSe (PBE, the Alexandria database).

Lattice parameters (Å, degrees): 2.8453 3.8211 5.7236 90.00 90.49 90.00
Positions (direct):
Ru 0.0000 0.0000 0.0000
Ru 0.4965 0.5000 0.7799
Pt 0.5028 0.5000 0.2464
Se 0.9885 0.0000 0.5697

Computed properties:
The crystal system is monoclinic. The calculation puts the volume at 15.56 Å³/atom. The magnetization is 0.0 μB/cell. As for the space group: Pm (6). The total energy is -27.12 eV/f.u. For the relative energy among the computed polymorphs, the calculation gives 28 meV per atom.

---

No. 2
# Ru2Pt2Se

An optimized crystal structure of Ru2Pt2Se (PBE, the Alexandria database).

Lattice parameters (Å, degrees): 3.5592 3.5592 13.4672 90.00 90.00 90.00
Positions (direct):
Ru 0.0000 0.5000 0.2500
Ru 0.0000 0.5000 0.7500
Ru 0.5000 0.0000 0.2500
Ru 0.5000 0.0000 0.7500
Pt 0.0000 0.0000 0.1015
Pt 0.0000 0.0000 0.8985
Pt 0.5000 0.5000 0.3985
Pt 0.5000 0.5000 0.6015
Se 0.0000 0.0000 0.5000
Se 0.5000 0.5000 0.0000

Computed properties:
The crystal system is tetragonal. The calculation puts the volume at 17.06 Å³/atom. The magnetization is 0.0 μB/cell. As for the space group: I4/mmm (139). The total energy is -31.83 eV/f.u.

---

No. 3
# Ru2PtSe

An optimized crystal structure of Ru2PtSe (PBE, the Alexandria database).

Lattice parameters (Å, degrees): 6.2935 6.2935 6.2935 90.00 90.00 90.00
Positions (direct):
Ru 0.0000 0.0000 0.0000
Ru 0.0000 0.5000 0.5000
Ru 0.2500 0.2500 0.2500
Ru 0.2500 0.7500 0.7500
Ru 0.5000 0.0000 0.5000
Ru 0.5000 0.5000 0.0000
Ru 0.7500 0.2500 0.7500
Ru 0.7500 0.7500 0.2500
Pt 0.0000 0.0000 0.5000
Pt 0.0000 0.5000 0.0000
Pt 0.5000 0.0000 0.0000
Pt 0.5000 0.5000 0.5000
Se 0.2500 0.2500 0.7500
Se 0.2500 0.7500 0.2500
Se 0.7500 0.2500 0.2500
Se 0.7500 0.7500 0.7500

Computed properties:
The crystal system is cubic. The calculation puts the volume at 15.58 Å³/atom. The magnetization is 7.0 μB/cell. As for the space group: F-43m (216). The total energy is -25.84 eV/f.u. For the relative energy among the computed polymorphs, the calculation gives 347 meV per atom.

---

No. 4
# Ru2PtSe

An optimized crystal structure of Ru2PtSe (PBE, the Alexandria database).

Lattice parameters (Å, degrees): 2.8297 2.8297 26.7411 90.00 90.00 120.00
Positions (direct):
Ru 0.0000 0.0000 0.0000
Ru 0.0000 0.0000 0.2557
Ru 0.3333 0.6667 0.6667
Ru 0.3333 0.6667 0.9224
Ru 0.6667 0.3333 0.3333
Ru 0.6667 0.3333 0.5890
Pt 0.0000 0.0000 0.5042
Pt 0.3333 0.6667 0.1708
Pt 0.6667 0.3333 0.8375
Se 0.0000 0.0000 0.7412
Se 0.3333 0.6667 0.4079
Se 0.6667 0.3333 0.0745

Computed properties:
The crystal system is trigonal. The calculation puts the volume at 15.45 Å³/atom. The magnetization is 0.0 μB/cell. As for the space group: R3m (160). The total energy is -27.16 eV/f.u. For the relative energy among the computed polymorphs, the calculation gives 17 meV per atom.